Entry from Alexandria: a geometry-optimized Ba2InAsPb structure (GGA-PBE).

Properties
Spin magnetization ... 0.00 Bohr magnetons per cell
Space-group type ... No. 11
Density ... 5.636 g/cm³
Electronic total energy ... -3.682 eV per atom

Lattice parameters (Å, degrees): 8.262 4.867 10.253 90.00 106.28 90.00
Positions (direct):
Ba 0.184 0.250 0.394
Ba 0.236 0.250 0.977
Ba 0.764 0.750 0.023
Ba 0.816 0.750 0.606
In 0.486 0.750 0.273
In 0.514 0.250 0.727
As 0.157 0.750 0.174
As 0.843 0.250 0.826
Pb 0.305 0.750 0.697
Pb 0.695 0.250 0.303



Entry from Alexandria: a geometry-optimized CaTlFe3 structure (GGA-PBE).

Properties
Spin magnetization ... 7.26 Bohr magnetons per cell
Space-group type ... No. 221
Density ... 6.606 g/cm³
E above lowest polymorph ... 572 meV per atom

Lattice parameters (Å, degrees): 4.696 4.696 4.696 90.00 90.00 90.00
Positions (direct):
Ca 0.000 0.000 0.000
Tl 0.500 0.500 0.500
Fe 0.000 0.000 0.500
Fe 0.000 0.500 0.000
Fe 0.500 0.000 0.000



Entry from Alexandria: a geometry-optimized Ce4ZnGa12 structure (GGA-PBE).

Properties
Spin magnetization ... 1.57 Bohr magnetons per cell
Space-group type ... No. 229
Density ... 7.144 g/cm³
Electronic total energy ... -4.108 eV per atom

Lattice parameters (Å, degrees): 7.615 7.615 7.615 109.47 109.47 109.47
Positions (direct):
Ce 0.000 0.000 0.500
Ce 0.000 0.500 0.000
Ce 0.500 0.000 0.000
Ce 0.500 0.500 0.500
Zn 0.000 0.000 0.000
Ga 0.000 0.305 0.305
Ga 0.000 0.695 0.695
Ga 0.250 0.500 0.750
Ga 0.250 0.750 0.500
Ga 0.305 0.000 0.305
Ga 0.305 0.305 0.000
Ga 0.500 0.250 0.750
Ga 0.500 0.750 0.250
Ga 0.695 0.000 0.695
Ga 0.695 0.695 0.000
Ga 0.750 0.250 0.500
Ga 0.750 0.500 0.250



Entry from Alexandria: a geometry-optimized TaAgMo2 structure (GGA-PBE).

Properties
Spin magnetization ... 0.00 Bohr magnetons per cell
Space-group type ... No. 119
Density ... 11.942 g/cm³
E above lowest polymorph ... 179 meV per atom

Lattice parameters (Å, degrees): 4.828 4.828 4.828 128.61 128.61 75.63
Positions (direct):
Ta 0.000 0.000 0.000
Ag 0.250 0.750 0.500
Mo 0.500 0.500 0.000
Mo 0.750 0.250 0.500



Entry from Alexandria: a geometry-optimized ErVB2 structure (GGA-PBE).

Properties
Spin magnetization ... 0.00 Bohr magnetons per cell
Space-group type ... No. 166
Density ... 7.483 g/cm³
Electronic total energy ... -6.827 eV per atom

Lattice parameters (Å, degrees): 5.285 5.285 5.285 39.28 39.28 39.28
Positions (direct):
Er 0.000 0.000 0.000
V 0.500 0.500 0.500
B 0.216 0.216 0.216
B 0.784 0.784 0.784